HfNiO2F | Alexandria | GGA+U | optimized geometry; calculated total energy = -0.5037 Ry per atom; space-group type = P4/mmm
1.0
4.0805 0.0000 0.0000
0.0000 4.0805 0.0000
0.0000 0.0000 4.1119
Hf Ni O F
1 1 2 1
direct
0.0000 0.0000 0.0000
0.5000 0.5000 0.5000
0.0000 0.5000 0.0000
0.5000 0.0000 0.0000
0.0000 0.0000 0.5000